The following is a DFT calculation (PBE+U) of an optimized crystal structure of LiW2O4.

The structure in CIF format:
```
data_LiW2O4
_symmetry_space_group_name_H-M 'P 1'
_symmetry_Int_Tables_number 1
_symmetry_space_group_name_Hall 'P 1'
_cell_length_a 6.367
_cell_length_b 6.367
_cell_length_c 6.367
_cell_angle_alpha 60.00
_cell_angle_beta 60.00
_cell_angle_gamma 60.00
loop_
_atom_site_label
_atom_site_type_symbol
_atom_site_fract_x
_atom_site_fract_y
_atom_site_fract_z
W1 W 0.625 0.625 0.625
W2 W 0.625 0.625 0.125
Li1 Li 0.000 0.000 0.000
O1 O 0.863 0.863 0.411
O2 O 0.863 0.863 0.863
O3 O 0.839 0.387 0.387
O4 O 0.387 0.387 0.387
O5 O 0.387 0.387 0.839
O6 O 0.411 0.863 0.863
W3 W 0.125 0.625 0.625
W4 W 0.625 0.125 0.625
O7 O 0.863 0.411 0.863
O8 O 0.387 0.839 0.387
Li2 Li 0.250 0.250 0.250
```

Calculated values
Magnetic moment (μB per cell): 10.00
DOS(E_F) (states/eV/atom): 0.903
Energy (eV/atom): -6.880
Calculated volume (Å³ per atom): 13.03
ρ (g cm⁻³): 7.98

The following is a DFT calculation (PBE+U) of an optimized crystal structure of Li4WO5.

The structure in CIF format:
```
data_Li4WO5
_symmetry_space_group_name_H-M 'P 1'
_symmetry_Int_Tables_number 1
_symmetry_space_group_name_Hall 'P 1'
_cell_length_a 5.207
_cell_length_b 5.207
_cell_length_c 5.207
_cell_angle_alpha 98.72
_cell_angle_beta 98.72
_cell_angle_gamma 134.16
loop_
_atom_site_label
_atom_site_type_symbol
_atom_site_fract_x
_atom_site_fract_y
_atom_site_fract_z
O1 O 0.275 0.918 0.186
W1 W 0.986 0.986 0.000
Li1 Li 0.185 0.606 0.790
O2 O 0.732 0.088 0.814
O3 O 0.088 0.275 0.356
Li2 Li 0.395 0.185 0.579
Li3 Li 0.816 0.395 0.210
Li4 Li 0.606 0.816 0.421
O4 O 0.918 0.732 0.644
O5 O 0.501 0.501 0.000
```

Calculated values
Magnetic moment (μB per cell): 0.00
DOS(E_F) (states/eV/atom): 0.000
Calculated volume (Å³ per atom): 9.33
ρ (g cm⁻³): 5.19
Energy above the lowest structure with this stoichiometry (meV/atom): 33